(1)
This record from the Alexandria database describes an optimized crystal structure of Cs2Sr2Pt. The functional is GGA-PBE.

## Properties
V = 53.432 Å³ per atom
Raw total energy = -0.16860 Ry per atom
Theoretical density = 3.954 g/cm3
Total magnetic moment = 0.00 μB per formula unit

Structure (CIF):
```
data_Cs2Sr2Pt
_space_group_name_H-M_alt 'P 4/m b m'
_space_group_IT_number 127
_space_group_name_Hall '-P 4 2ab'
_cell_length_a 8.2417
_cell_length_b 8.2417
_cell_length_c 7.8663
_cell_angle_alpha 90.00
_cell_angle_beta 90.00
_cell_angle_gamma 90.00
loop_
_atom_site_label
_atom_site_type_symbol
_atom_site_fract_x
_atom_site_fract_y
_atom_site_fract_z
_atom_site_occupancy
Cs1 Cs 0.1933 0.3067 0.0000 1
Sr1 Sr 0.1866 0.6866 0.5000 1
Pt1 Pt 0.0000 0.0000 0.5000 1
```

=====

(2)
This record from the Alexandria database describes an optimized crystal structure of La2HoCo. The functional is GGA-PBE.

## Properties
V = 28.117 Å³ per atom
ΔE to the lowest computed polymorph = 0.0000 eV/atom
Theoretical density = 7.407 g/cm3
Total magnetic moment = 0.00 μB per formula unit

Structure (CIF):
```
data_La2HoCo
_space_group_name_H-M_alt 'P n m a'
_space_group_IT_number 62
_cell_length_a 7.0950
_cell_length_b 10.0810
_cell_length_c 6.2897
_cell_angle_alpha 90.00
_cell_angle_beta 90.00
_cell_angle_gamma 90.00
loop_
_space_group_symop_operation_xyz
'x,y,z'
'-x,-y,-z'
'-x+1/2,-y,z+1/2'
'x+1/2,y,-z+1/2'
'x+1/2,-y+1/2,-z+1/2'
'-x+1/2,y+1/2,z+1/2'
'-x,y+1/2,-z'
'x,-y+1/2,z'
loop_
_atom_site_label
_atom_site_type_symbol
_atom_site_fract_x
_atom_site_fract_y
_atom_site_fract_z
_atom_site_occupancy
La1 La 0.1684 0.0717 0.1771 1
Ho1 Ho 0.0456 0.2500 0.6615 1
Co1 Co 0.1177 0.7500 0.9380 1
```

=====

(3)
This record from the Alexandria database describes an optimized crystal structure of Al2MoOsAu. The functional is GGA-PBE.

## Properties
V = 21.114 Å³ per atom
Raw total energy = -0.37136 Ry per atom
Theoretical density = 8.448 g/cm3
Total magnetic moment = 4.06 μB per formula unit

Structure (CIF):
```
data_Al2MoOsAu
_space_group_name_H-M_alt 'P 4/m m m'
_space_group_IT_number 123
_space_group_name_Hall '-P 4 2'
_cell_length_a 4.5670
_cell_length_b 4.5670
_cell_length_c 5.0614
_cell_angle_alpha 90.00
_cell_angle_beta 90.00
_cell_angle_gamma 90.00
loop_
_atom_site_label
_atom_site_type_symbol
_atom_site_fract_x
_atom_site_fract_y
_atom_site_fract_z
_atom_site_occupancy
Al1 Al 0.0000 0.5000 0.0000 1
Mo1 Mo 0.0000 0.0000 0.5000 1
Os1 Os 0.5000 0.5000 0.5000 1
Au1 Au 0.5000 0.5000 0.0000 1
```

=====

(4)
This record from the Alexandria database describes an optimized crystal structure of GdNi2Ge2. The functional is GGA-PBE.

## Properties
V = 16.514 Å³ per atom
Raw total energy = -0.56352 Ry per atom
Theoretical density = 8.445 g/cm3
Total magnetic moment = 7.23 μB per formula unit

Structure (CIF):
```
data_GdNi2Ge2
_space_group_name_H-M_alt 'I 4/m m m'
_space_group_IT_number 139
_space_group_name_Hall '-I 4 2'
_cell_length_a 4.0993
_cell_length_b 4.0993
_cell_length_c 9.8274
_cell_angle_alpha 90.00
_cell_angle_beta 90.00
_cell_angle_gamma 90.00
loop_
_atom_site_label
_atom_site_type_symbol
_atom_site_fract_x
_atom_site_fract_y
_atom_site_fract_z
_atom_site_occupancy
Gd1 Gd 0.0000 0.0000 0.0000 1
Ni1 Ni 0.0000 0.5000 0.2500 1
Ge1 Ge 0.0000 0.0000 0.3701 1
```

=====

(5)
This record from the Alexandria database describes an optimized crystal structure of Nd2Dy4Ho2Tm. The functional is GGA-PBE.

## Properties
V = 32.032 Å³ per atom
Raw total energy = -0.33956 Ry per atom
Theoretical density = 8.279 g/cm3
Total magnetic moment = 0.00 μB per formula unit

Structure (CIF):
```
data_Nd2Dy4Ho2Tm
_space_group_name_H-M_alt 'C 1 2/m 1'
_space_group_IT_number 12
_cell_length_a 18.6373
_cell_length_b 3.5961
_cell_length_c 9.5458
_cell_angle_alpha 90.00
_cell_angle_beta 115.68
_cell_angle_gamma 90.00
loop_
_space_group_symop_operation_xyz
'x,y,z'
'-x,-y,-z'
'-x,y,-z'
'x,-y,z'
'x+1/2,y+1/2,z'
'-x+1/2,-y+1/2,-z'
'-x+1/2,y+1/2,-z'
'x+1/2,-y+1/2,z'
loop_
_atom_site_label
_atom_site_type_symbol
_atom_site_fract_x
_atom_site_fract_y
_atom_site_fract_z
_atom_site_occupancy
Nd1 Nd 0.1651 0.0000 0.4982 1
Dy1 Dy 0.0194 0.0000 0.8347 1
Dy2 Dy 0.1856 0.5000 0.8354 1
Ho1 Ho 0.1469 0.5000 0.1627 1
Tm1 Tm 0.0000 0.5000 0.5000 1
```